Entry from Alexandria via LeMat-Bulk: Sc3WBr after structural relaxation (PBE-GGA).

Cell lengths 4.849, 4.849, 4.849 Å; angles 90.00, 90.00, 90.00 degrees
Positions (direct):
Sc: 0.000 0.000 0.500
Sc: 0.000 0.500 0.000
Sc: 0.500 0.000 0.000
W: 0.500 0.500 0.500
Br: 0.000 0.000 0.000

Calculated values
Fermi-level density of states, states/eV/atom: 0.6040
Calculated total energy, eV for the cell shown: -30.79
E above lowest polymorph, meV/atom: 88
Space group: Pm-3m
Formation energy (no corrections), meV/atom: 566